# NdPd12Pt6 | Alexandria via LeMat-Bulk | PBE | optimized geometry
# - space group = Im-3, No. 204
# - formation enthalpy at 0 K (eV/atom) = 0.1801
# - Fermi-level density of states (states/eV per cell) = 43.7
data_NdPd12Pt6
_chemical_formula_sum 'Nd1 Pd12 Pt6'
_symmetry_space_group_name_H-M 'P 1'
_symmetry_Int_Tables_number 1
_symmetry_space_group_name_Hall 'P 1'
_cell_length_a 7.554
_cell_length_b 7.554
_cell_length_c 7.554
_cell_angle_alpha 109.47
_cell_angle_beta 109.47
_cell_angle_gamma 109.47
loop_
_atom_site_label
_atom_site_type_symbol
_atom_site_fract_x
_atom_site_fract_y
_atom_site_fract_z
Nd1 Nd 0.000 0.000 0.000
Pd1 Pd 0.266 0.086 0.820
Pd2 Pd 0.266 0.445 0.180
Pd3 Pd 0.734 0.555 0.820
Pd4 Pd 0.734 0.914 0.180
Pd5 Pd 0.086 0.820 0.266
Pd6 Pd 0.445 0.180 0.266
Pd7 Pd 0.555 0.820 0.734
Pd8 Pd 0.914 0.180 0.734
Pd9 Pd 0.820 0.266 0.086
Pd10 Pd 0.180 0.266 0.445
Pd11 Pd 0.820 0.734 0.555
Pd12 Pd 0.180 0.734 0.914
Pt1 Pt 0.356 0.500 0.856
Pt2 Pt 0.644 0.500 0.144
Pt3 Pt 0.500 0.856 0.356
Pt4 Pt 0.500 0.144 0.644
Pt5 Pt 0.856 0.356 0.500
Pt6 Pt 0.144 0.644 0.500